# RbCaMg2B

A relaxed structure of RbCaMg2B (GGA-PBE, Alexandria via LeMat-Bulk).

Calculated values
calculated formation energy	1.985	eV/atom
space-group type	P4/mmm, No. 123
E_tot	-0.5826	eV/atom
ρ	0.97	g/cm3

abc: 6.5236 6.5236 7.4310
angles: 90.00 90.00 90.00
Element x y z (fractional)
Rb 0.0000 0.0000 0.0000
Ca 0.0000 0.0000 0.5000
Mg 0.0000 0.5000 0.0000
Mg 0.5000 0.0000 0.0000
B 0.5000 0.5000 0.5000